Here is crystalline LiLaIN2 at its relaxed geometry from Alexandria. Energies are from PBE.

a b c (Å): 4.453 4.453 4.647
angles (deg): 90.00 90.00 90.00
Last column: magnetic moment on the atom in μB.
Sites, in units of the cell vectors:
I: 0.000 0.000 0.500  0.17
N: 0.000 0.500 0.000  0.99
N: 0.500 0.000 0.000  0.99
Li: 0.000 0.000 0.000  0.03
La: 0.500 0.500 0.500  -0.06

Values from the calculation:
Crystal system   tetragonal
SG   No. 123
Final energy   -4.448 eV per atom
Uncorrected formation energy   0.5608 eV/atom

=====

Here is crystalline LiLaIN2 at its relaxed geometry from Alexandria. Energies are from PBE.

a b c (Å): 4.352 4.352 6.959
angles (deg): 90.00 90.00 90.00
Sites, in units of the cell vectors:
I: 0.000 0.000 0.500
N: 0.000 0.500 0.000
N: 0.500 0.000 0.000
Li: 0.500 0.500 0.500
La: 0.000 0.000 0.000

Values from the calculation:
Crystal system   tetragonal
SG   No. 123
Final energy   -4.835 eV per atom
Uncorrected formation energy   0.1734 eV/atom

=====

Here is crystalline Li2LaIN at its relaxed geometry from Alexandria. Energies are from PBE.

a b c (Å): 3.748 9.162 7.265
angles (deg): 90.00 90.00 101.80
Last column: magnetic moment on the atom in μB.
Sites, in units of the cell vectors:
Li: 0.116 0.231 0.989  0.03
Li: 0.884 0.769 0.011  0.03
Li: 0.116 0.231 0.511  0.03
Li: 0.884 0.769 0.489  0.03
La: 0.494 0.989 0.750  0.09
La: 0.506 0.011 0.250  0.09
I: 0.682 0.365 0.750  0.02
I: 0.318 0.635 0.250  0.02
N: 0.000 0.000 0.000  -0.01
N: 0.000 0.000 0.500  -0.01

Values from the calculation:
Crystal system   orthorhombic
SG   No. 63
Final energy   -4.545 eV per atom
Uncorrected formation energy   -0.8193 eV/atom

=====

Here is crystalline LiLaI2O at its relaxed geometry from Alexandria. Energies are from PBE.

a b c (Å): 5.480 5.480 3.964
angles (deg): 90.00 90.00 90.00
Last column: magnetic moment on the atom in μB.
Sites, in units of the cell vectors:
I: 0.000 0.500 0.000  0.03
I: 0.500 0.000 0.000  0.03
Li: 0.000 0.000 0.000  -0.01
O: 0.000 0.000 0.500  0.37
La: 0.500 0.500 0.500  -0.04

Values from the calculation:
Crystal system   tetragonal
SG   No. 123
Final energy   -4.000 eV per atom
Uncorrected formation energy   -1.0201 eV/atom

=====

Here is crystalline LiLaI2O at its relaxed geometry from Alexandria. Energies are from PBE.

a b c (Å): 6.569 6.569 4.353
angles (deg): 90.00 90.00 90.00
Sites, in units of the cell vectors:
I: 0.000 0.500 0.000
I: 0.500 0.000 0.000
Li: 0.500 0.500 0.500
O: 0.000 0.000 0.500
La: 0.000 0.000 0.000

Values from the calculation:
Crystal system   tetragonal
SG   No. 123
Final energy   -4.624 eV per atom
Uncorrected formation energy   -1.6442 eV/atom

=====

Here is crystalline Rb2Li2LaI6 at its relaxed geometry from Alexandria. Energies are from PBE.

a b c (Å): 8.330 8.134 9.603
angles (deg): 111.97 90.00 120.80
Sites, in units of the cell vectors:
Rb: 0.701 0.401 0.175
Rb: 0.299 0.599 0.825
Li: 0.957 0.913 0.648
Li: 0.043 0.087 0.352
La: 0.500 0.000 0.500
I: 0.746 0.491 0.584
I: 0.206 0.883 0.198
I: 0.322 0.117 0.802
I: 0.794 0.117 0.802
I: 0.678 0.883 0.198
I: 0.254 0.509 0.416

Values from the calculation:
Crystal system   monoclinic
SG   No. 12
Final energy   -3.068 eV per atom
Uncorrected formation energy   -1.2510 eV/atom

=====

Here is crystalline Rb2LiLaI6 at its relaxed geometry from Alexandria. Energies are from PBE.

a b c (Å): 8.413 8.787 12.011
angles (deg): 90.00 89.57 90.00
Sites, in units of the cell vectors:
Rb: 0.023 0.929 0.252
Rb: 0.523 0.571 0.752
Rb: 0.977 0.071 0.748
Rb: 0.477 0.429 0.248
Li: 0.500 0.000 0.000
Li: 0.000 0.500 0.500
La: 0.500 0.000 0.500
La: 0.000 0.500 0.000
I: 0.305 0.705 0.043
I: 0.805 0.795 0.543
I: 0.695 0.295 0.957
I: 0.195 0.205 0.457
I: 0.298 0.699 0.459
I: 0.798 0.801 0.959
I: 0.702 0.301 0.541
I: 0.202 0.199 0.041
I: 0.916 0.514 0.258
I: 0.416 0.986 0.758
I: 0.084 0.486 0.742
I: 0.584 0.014 0.242

Values from the calculation:
Crystal system   monoclinic
SG   No. 14
Final energy   -3.258 eV per atom
Uncorrected formation energy   -1.4504 eV/atom

=====

Here is crystalline RbLiLa2I8 at its relaxed geometry from Alexandria. Energies are from PBE.

a b c (Å): 7.926 7.661 9.793
angles (deg): 89.99 89.99 82.36
Sites, in units of the cell vectors:
Rb: 0.000 0.000 0.500
Li: 0.000 0.000 0.000
La: 0.500 0.500 0.758
La: 0.500 0.500 0.242
I: 0.161 0.756 0.211
I: 0.644 0.725 0.000
I: 0.839 0.244 0.211
I: 0.839 0.244 0.789
I: 0.356 0.275 0.000
I: 0.161 0.756 0.789
I: 0.634 0.712 0.500
I: 0.366 0.288 0.500

Values from the calculation:
Crystal system   monoclinic
SG   No. 10
Final energy   -3.513 eV per atom
Uncorrected formation energy   -1.4186 eV/atom

=====

Here is crystalline Rb2LiLaI6 at its relaxed geometry from Alexandria. Energies are from PBE.

a b c (Å): 8.654 8.654 8.655
angles (deg): 60.00 60.00 90.00
Sites, in units of the cell vectors:
I: 0.257 0.257 0.486
I: 0.743 0.743 0.514
I: 0.257 0.257 0.000
I: 0.743 0.743 0.000
I: 0.743 0.257 0.000
I: 0.257 0.743 0.000
Li: 0.500 0.500 0.000
Rb: 0.750 0.250 0.500
Rb: 0.250 0.750 0.500
La: 0.000 0.000 0.000

Values from the calculation:
Crystal system   cubic
SG   No. 225
Final energy   -3.231 eV per atom
Uncorrected formation energy   -1.4237 eV/atom

=====

Here is crystalline RbLiLaI5 at its relaxed geometry from Alexandria. Energies are from PBE.

a b c (Å): 8.710 8.710 11.851
angles (deg): 103.69 103.69 107.17
Sites, in units of the cell vectors:
Rb: 0.354 0.646 0.250
Rb: 0.646 0.354 0.750
Li: 0.691 0.309 0.250
Li: 0.309 0.691 0.750
La: 0.000 0.000 0.500
La: 0.000 0.000 0.000
I: 0.086 0.914 0.250
I: 0.914 0.086 0.750
I: 0.913 0.319 0.115
I: 0.087 0.681 0.885
I: 0.681 0.087 0.385
I: 0.319 0.913 0.615
I: 0.754 0.617 0.431
I: 0.246 0.383 0.569
I: 0.383 0.246 0.069
I: 0.617 0.754 0.931

Values from the calculation:
Crystal system   monoclinic
SG   No. 15
Final energy   -3.371 eV per atom
Uncorrected formation energy   -1.4257 eV/atom

=====

Here is crystalline Li2LaSI at its relaxed geometry from Alexandria. Energies are from PBE.

a b c (Å): 4.517 7.989 4.517
angles (deg): 90.00 90.00 90.00
Last column: magnetic moment on the atom in μB.
Sites, in units of the cell vectors:
I: 0.000 0.500 0.000  -0.01
S: 0.000 0.000 0.000  0.03
Li: 0.000 0.000 0.500  0.01
Li: 0.500 0.000 0.000  0.01
La: 0.500 0.500 0.500  0.37

Values from the calculation:
Crystal system   tetragonal
SG   No. 123
Final energy   -3.589 eV per atom
Uncorrected formation energy   -0.7025 eV/atom

=====

Here is crystalline LiLaSI2 at its relaxed geometry from Alexandria. Energies are from PBE.

a b c (Å): 6.446 5.381 6.446
angles (deg): 90.00 90.00 90.00
Sites, in units of the cell vectors:
I: 0.000 0.000 0.500
I: 0.500 0.000 0.000
S: 0.000 0.500 0.000
Li: 0.500 0.500 0.500
La: 0.000 0.000 0.000

Values from the calculation:
Crystal system   tetragonal
SG   No. 123
Final energy   -3.964 eV per atom
Uncorrected formation energy   -1.1498 eV/atom

=====

Here is crystalline LiLa2SiI at its relaxed geometry from Alexandria. Energies are from PBE.

a b c (Å): 5.975 5.401 5.975
angles (deg): 90.00 90.00 90.00
Sites, in units of the cell vectors:
I: 0.000 0.000 0.000
Si: 0.000 0.500 0.000
Li: 0.500 0.500 0.500
La: 0.000 0.000 0.500
La: 0.500 0.000 0.000

Values from the calculation:
Crystal system   tetragonal
SG   No. 123
Final energy   -3.379 eV per atom
Uncorrected formation energy   0.3690 eV/atom